No. 1
The following is a DFT calculation (GGA-PBE) of Tm6AlAg5 after structural relaxation.

a b c (Å): 5.051 7.241 7.994
angles (deg): 90.00 71.49 90.00
Fractional coordinates of all 12 atoms:
Al (0.000, 0.000, 0.000)
Ag (0.332, 0.500, 0.336)
Ag (0.000, 0.500, 0.000)
Ag (0.668, 0.500, 0.664)
Ag (0.339, 0.000, 0.321)
Ag (0.661, 0.000, 0.679)
Tm (0.167, 0.250, 0.666)
Tm (0.167, 0.750, 0.666)
Tm (0.833, 0.750, 0.334)
Tm (0.500, 0.747, 0.000)
Tm (0.833, 0.250, 0.334)
Tm (0.500, 0.253, 0.000)

Results
Space group: P2/m (10)
Energy of formation from the pure elements in eV per atom: -0.345
Calculated volume in Å³ per cell: 277.22
Spin magnetization in μB/f.u.: 0.0
Fermi-level density of states in states/eV/atom: 0.6140

No. 2
The following is a DFT calculation (GGA-PBE) of HgPd2O4 after structural relaxation.

a b c (Å): 5.867 6.242 6.778
angles (deg): 117.41 115.60 90.03
Fractional coordinates of all 14 atoms:
Pd (0.625, 0.375, 0.250)
Pd (0.125, 0.375, 0.750)
Pd (0.625, 0.875, 0.250)
Pd (0.625, 0.375, 0.750)
O (0.820, 0.108, 0.641)
O (0.429, 0.217, 0.859)
O (0.858, 0.632, 0.264)
O (0.430, 0.642, 0.859)
O (0.392, 0.118, 0.236)
O (0.843, 0.118, 0.235)
O (0.407, 0.632, 0.265)
O (0.821, 0.533, 0.641)
Hg (0.968, 0.968, 0.936)
Hg (0.281, 0.782, 0.564)

Results
Space group: C2/m (12)
Calculated volume in Å³ per cell: 192.47
Spin magnetization in μB/f.u.: 0.0
ΔE_f (raw) in eV/atom: -0.30
Fermi-level density of states in states/eV/atom: 0.1078

No. 3
The following is a DFT calculation (GGA-PBE) of B3PRh after structural relaxation.

a b c (Å): 4.073 4.073 4.073
angles (deg): 90.00 90.00 90.00
Fractional coordinates of all 5 atoms:
Rh (0.000, 0.000, 0.000)
B (0.500, 0.000, 0.000)
B (0.000, 0.000, 0.500)
B (0.000, 0.500, 0.000)
P (0.500, 0.500, 0.500)

Results
Space group: Pm-3m (221)
Energy relative to the lowest polymorph listed for this composition in eV per formula unit: 0.000
Energy of formation from the pure elements in eV per atom: 1.439
Calculated volume in Å³ per cell: 67.55
Spin magnetization in μB/f.u.: 0.0
Fermi-level density of states in states/eV/atom: 0.9667

No. 4
The following is a DFT calculation (GGA-PBE) of Nb2IrPd after structural relaxation.

a b c (Å): 7.211 7.211 5.801
angles (deg): 51.57 51.57 90.00
Fractional coordinates of all 8 atoms:
Nb (0.108, 0.625, 0.250)
Nb (0.375, 0.358, 0.750)
Nb (0.642, 0.125, 0.250)
Nb (0.875, 0.892, 0.750)
Pd (0.500, 0.500, 0.000)
Pd (0.250, 0.750, 0.500)
Ir (0.000, 0.000, 0.000)
Ir (0.750, 0.250, 0.500)

Results
Space group: I-42d (122)
Energy of formation from the pure elements in eV per atom: 0.080
Calculated volume in Å³ per cell: 143.79
Spin magnetization in μB/f.u.: 0.0
Fermi-level density of states in states/eV/atom: 0.7269

No. 5
The following is a DFT calculation (GGA-PBE) of SbMoCl3 after structural relaxation.

a b c (Å): 5.109 5.109 5.109
angles (deg): 90.00 90.00 90.00
Fractional coordinates of all 5 atoms:
Sb (0.500, 0.500, 0.500)
Cl (0.500, 0.000, 0.000)
Cl (0.000, 0.500, 0.000)
Cl (0.000, 0.000, 0.500)
Mo (0.000, 0.000, 0.000)

Results
Space group: Pm-3m (221)
Energy relative to the lowest polymorph listed for this composition in eV per formula unit: 0.000
Calculated volume in Å³ per cell: 133.35
Spin magnetization in μB/f.u.: 6.0
ΔE_f (raw) in eV/atom: 0.11
Fermi-level density of states in states/eV/atom: 0.9239

No. 6
The following is a DFT calculation (GGA-PBE) of Ho2Ga4NiPt3 after structural relaxation.

a b c (Å): 3.997 3.997 11.320
angles (deg): 90.00 90.00 90.00
Fractional coordinates of all 10 atoms:
Pt (0.500, 0.000, 0.851)
Pt (0.000, 0.500, 0.149)
Pt (0.000, 0.000, 0.500)
Ga (0.500, 0.000, 0.630)
Ga (0.000, 0.500, 0.370)
Ga (0.000, 0.000, 0.000)
Ga (0.500, 0.500, 0.000)
Ho (0.500, 0.000, 0.256)
Ho (0.000, 0.500, 0.744)
Ni (0.500, 0.500, 0.500)

Results
Space group: P-4m2 (115)
Energy of formation from the pure elements in eV per atom: -0.862
Calculated volume in Å³ per cell: 180.88
Spin magnetization in μB/f.u.: 0.0
Fermi-level density of states in states/eV/atom: 0.5536